[1]
Computed, not measured: AcSnPAu after structural relaxation at the PBE level of DFT.

Crystal system: cubic
Space group: F-43m (216)
DFT formation energy: -533 meV per atom

Cell: 7.3783 7.3783 7.3783 Å, 90.00 90.00 90.00°
Fractional coordinates of all 16 atoms:
Ac  0.0000  0.0000  0.0000
Ac  0.0000  0.5000  0.5000
Ac  0.5000  0.0000  0.5000
Ac  0.5000  0.5000  0.0000
Sn  0.0000  0.0000  0.5000
Sn  0.0000  0.5000  0.0000
Sn  0.5000  0.0000  0.0000
Sn  0.5000  0.5000  0.5000
P  0.2500  0.2500  0.2500
P  0.2500  0.7500  0.7500
P  0.7500  0.2500  0.7500
P  0.7500  0.7500  0.2500
Au  0.2500  0.2500  0.7500
Au  0.2500  0.7500  0.2500
Au  0.7500  0.2500  0.2500
Au  0.7500  0.7500  0.7500

---

[2]
Computed, not measured: BaAgP after structural relaxation at the PBE level of DFT.

Crystal system: hexagonal
Space group: P6_3/mmc (194)
DFT formation energy: -721 meV per atom

Cell: 4.5268 4.5268 9.0292 Å, 90.00 90.00 120.00°
Fractional coordinates of all 6 atoms:
Ba  0.0000  0.0000  0.0000
Ba  0.0000  0.0000  0.5000
Ag  0.3333  0.6667  0.2500
Ag  0.6667  0.3333  0.7500
P  0.3333  0.6667  0.7500
P  0.6667  0.3333  0.2500

---

[3]
Computed, not measured: Ca2YCdH after structural relaxation at the PBE level of DFT.

Crystal system: tetragonal
DFT total energy: -15.7 eV per cell
Space group: P4/mmm (123)

Cell: 4.9528 4.9528 4.9983 Å, 90.00 90.00 90.00°
Fractional coordinates of all 5 atoms:
Ca  0.0000  0.5000  0.0000
Ca  0.5000  0.0000  0.0000
Y  0.0000  0.0000  0.5000
Cd  0.5000  0.5000  0.5000
H  0.0000  0.0000  0.0000

---

[4]
Computed, not measured: Pa2GeH2 after structural relaxation at the PBE level of DFT.

Crystal system: tetragonal
Relative energy among the computed polymorphs: 0.0000 eV/atom
Space group: I4/mmm (139)

Cell: 3.9648 3.9648 9.8458 Å, 90.00 90.00 90.00°
Fractional coordinates of all 10 atoms:
Pa  0.0000  0.0000  0.1377
Pa  0.0000  0.0000  0.8623
Pa  0.5000  0.5000  0.3623
Pa  0.5000  0.5000  0.6377
Ge  0.0000  0.0000  0.5000
Ge  0.5000  0.5000  0.0000
H  0.0000  0.5000  0.2500
H  0.0000  0.5000  0.7500
H  0.5000  0.0000  0.2500
H  0.5000  0.0000  0.7500

---

[5]
Computed, not measured: Sm7Tm2Sc2 after structural relaxation at the PBE level of DFT.

Crystal system: orthorhombic
Relative energy among the computed polymorphs: 0.2086 eV/atom
Space group: Cmmm (65)
DFT formation energy: 362 meV per atom

Cell: 6.6183 6.6183 9.9197 Å, 90.00 90.00 122.24°
Fractional coordinates of all 11 atoms:
Sm  0.0000  0.0000  0.0000
Sm  0.0000  0.5000  0.3168
Sm  0.0000  0.5000  0.6832
Sm  0.5000  0.0000  0.3168
Sm  0.5000  0.0000  0.6832
Sm  0.5000  0.5000  0.2056
Sm  0.5000  0.5000  0.7944
Tm  0.2847  0.7153  0.0000
Tm  0.7153  0.2847  0.0000
Sc  0.2534  0.2534  0.5000
Sc  0.7466  0.7466  0.5000

---

[6]
Computed, not measured: YSe2Br after structural relaxation at the PBE level of DFT.

Crystal system: tetragonal
Relative energy among the computed polymorphs: 0.4188 eV/atom
Space group: P4mm (99)
Uncorrected formation energy: -0.844 eV per atom

Cell: 3.6418 3.6418 8.1832 Å, 90.00 90.00 90.00°
Fractional coordinates of all 4 atoms:
Y  0.0000  0.0000  0.0000
Se  0.0000  0.0000  0.6348
Se  0.5000  0.5000  0.8408
Br  0.5000  0.5000  0.2288

---

[7]
Computed, not measured: TbHoTh2Sc5 after structural relaxation at the PBE level of DFT.

Crystal system: tetragonal
Space group: I4/mcm (140)
DFT formation energy: 347 meV per atom

Cell: 9.3479 9.3479 9.3479 Å, 126.22 126.22 79.52°
Fractional coordinates of all 18 atoms:
Tb  0.2500  0.2500  0.0000
Tb  0.7500  0.7500  0.0000
Ho  0.2500  0.7500  0.5000
Ho  0.7500  0.2500  0.5000
Th  0.1236  0.6236  0.7472
Th  0.3764  0.1236  0.5000
Th  0.6236  0.8764  0.5000
Th  0.8764  0.3764  0.2528
Sc  0.0000  0.0000  0.0000
Sc  0.0695  0.1513  0.5000
Sc  0.1513  0.6513  0.0818
Sc  0.3487  0.4305  0.5000
Sc  0.4305  0.9305  0.0818
Sc  0.5000  0.5000  0.0000
Sc  0.5695  0.0695  0.9182
Sc  0.6513  0.5695  0.5000
Sc  0.8487  0.3487  0.9182
Sc  0.9305  0.8487  0.5000

---

[8]
Computed, not measured: CuPt after structural relaxation at the PBE level of DFT.

Crystal system: tetragonal
Space group: I4_1/amd (141)
DFT formation energy: -107 meV per atom

Cell: 3.8247 3.8247 7.6760 Å, 90.00 90.00 90.00°
Fractional coordinates of all 8 atoms:
Cu  0.0000  0.2500  0.3750
Cu  0.0000  0.7500  0.6250
Cu  0.5000  0.2500  0.1250
Cu  0.5000  0.7500  0.8750
Pt  0.0000  0.2500  0.8750
Pt  0.0000  0.7500  0.1250
Pt  0.5000  0.2500  0.6250
Pt  0.5000  0.7500  0.3750

---

[9]
Computed, not measured: RbMg4Tl5 after structural relaxation at the PBE level of DFT.

Crystal system: tetragonal
Space group: P4/mmm (123)
DFT formation energy: -50 meV per atom

Cell: 3.7242 3.7242 19.8596 Å, 90.00 90.00 90.00°
Fractional coordinates of all 10 atoms:
Rb  0.0000  0.0000  0.0000
Mg  0.0000  0.0000  0.2287
Mg  0.0000  0.0000  0.4088
Mg  0.0000  0.0000  0.5912
Mg  0.0000  0.0000  0.7713
Tl  0.5000  0.5000  0.1388
Tl  0.5000  0.5000  0.3181
Tl  0.5000  0.5000  0.5000
Tl  0.5000  0.5000  0.6819
Tl  0.5000  0.5000  0.8612

---

[10]
Computed, not measured: DyThTc4 after structural relaxation at the PBE level of DFT.

Crystal system: cubic
Space group: F-43m (216)
DFT formation energy: -87 meV per atom

Cell: 5.4590 5.4590 5.4590 Å, 60.00 60.00 60.00°
Fractional coordinates of all 6 atoms:
Dy  0.0000  0.0000  0.0000
Th  0.2500  0.2500  0.2500
Tc  0.1245  0.6252  0.6252
Tc  0.6252  0.1245  0.6252
Tc  0.6252  0.6252  0.1245
Tc  0.6252  0.6252  0.6252

---

[11]
Computed, not measured: UTl4Se4 after structural relaxation at the PBE level of DFT.

Crystal system: monoclinic
Space group: C2/m (12)
Uncorrected formation energy: -0.686 eV per atom

Cell: 7.6576 7.6576 10.8237 Å, 119.54 119.54 32.44°
Fractional coordinates of all 9 atoms:
U  0.0000  0.0000  0.0000
Tl  0.1966  0.1966  0.7744
Tl  0.4147  0.4147  0.6013
Tl  0.5853  0.5853  0.3987
Tl  0.8034  0.8034  0.2256
Se  0.1704  0.1704  0.2869
Se  0.4013  0.4013  0.0662
Se  0.5987  0.5987  0.9338
Se  0.8296  0.8296  0.7131

---

[12]
Computed, not measured: POsPdCl2 after structural relaxation at the PBE level of DFT.

Crystal system: tetragonal
Relative energy among the computed polymorphs: 0.0000 eV/atom
Space group: P4/mmm (123)
Uncorrected formation energy: 0.657 eV per atom

Cell: 4.8813 4.8813 4.4885 Å, 90.00 90.00 90.00°
Fractional coordinates of all 5 atoms:
P  0.0000  0.0000  0.0000
Os  0.0000  0.0000  0.5000
Pd  0.5000  0.5000  0.0000
Cl  0.0000  0.5000  0.5000
Cl  0.5000  0.0000  0.5000

---

[13]
Computed, not measured: TbPr8In6 after structural relaxation at the PBE level of DFT.

Crystal system: trigonal
Space group: R-3 (148)
DFT formation energy: -250 meV per atom

Cell: 8.5765 8.5765 8.5765 Å, 65.57 65.57 65.57°
Fractional coordinates of all 15 atoms:
Tb  0.0000  0.0000  0.0000
Pr  0.1155  0.7808  0.4517
Pr  0.2192  0.5483  0.8845
Pr  0.3344  0.3344  0.3344
Pr  0.4517  0.1155  0.7808
Pr  0.5483  0.8845  0.2192
Pr  0.6656  0.6656  0.6656
Pr  0.7808  0.4517  0.1155
Pr  0.8845  0.2192  0.5483
In  0.0529  0.3803  0.7270
In  0.2730  0.9471  0.6197
In  0.3803  0.7270  0.0529
In  0.6197  0.2730  0.9471
In  0.7270  0.0529  0.3803
In  0.9471  0.6197  0.2730

---

[14]
Computed, not measured: CsBiNF2 after structural relaxation at the PBE level of DFT.

Crystal system: tetragonal
Relative energy among the computed polymorphs: 1.4668 eV/atom
Space group: P4/mmm (123)
Uncorrected formation energy: 0.281 eV per atom

Cell: 5.0888 5.0888 4.4750 Å, 90.00 90.00 90.00°
Fractional coordinates of all 5 atoms:
Cs  0.0000  0.0000  0.0000
Bi  0.5000  0.5000  0.5000
N  0.0000  0.0000  0.5000
F  0.0000  0.5000  0.0000
F  0.5000  0.0000  0.0000

---

[15]
Computed, not measured: BaCaIr2O8 after structural relaxation at the PBE level of DFT.

Crystal system: trigonal
Space group: P-3 (147)
Uncorrected formation energy: -1.236 eV per atom

Cell: 5.9622 5.9622 7.8109 Å, 90.00 90.00 120.00°
Fractional coordinates of all 12 atoms:
Ba  0.0000  0.0000  0.0000
Ca  0.0000  0.0000  0.5000
Ir  0.3333  0.6667  0.7647
Ir  0.6667  0.3333  0.2353
O  0.1599  0.3233  0.7083
O  0.1634  0.8401  0.7083
O  0.3233  0.1634  0.2917
O  0.3333  0.6667  0.9997
O  0.6667  0.3333  0.0003
O  0.6767  0.8366  0.7083
O  0.8366  0.1599  0.2917
O  0.8401  0.6767  0.2917

---

[16]
Computed, not measured: Al2SbCl after structural relaxation at the PBE level of DFT.

Crystal system: tetragonal
Relative energy among the computed polymorphs: 0.1033 eV/atom
Space group: P4mm (99)
Uncorrected formation energy: -0.162 eV per atom

Cell: 3.1410 3.1410 9.4041 Å, 90.00 90.00 90.00°
Fractional coordinates of all 4 atoms:
Al  0.0000  0.0000  0.0000
Al  0.5000  0.5000  0.1932
Sb  0.5000  0.5000  0.7787
Cl  0.0000  0.0000  0.3631

---

[17]
Computed, not measured: In5Te after structural relaxation at the PBE level of DFT.

Crystal system: orthorhombic
Relative energy among the computed polymorphs: 0.0069 eV/atom
Space group: Amm2 (38)
Uncorrected formation energy: -0.032 eV per atom

Cell: 5.0316 4.1987 16.2014 Å, 90.00 90.00 90.00°
Fractional coordinates of all 12 atoms:
In  0.0000  0.0000  0.0000
In  0.0000  0.0000  0.3283
In  0.0000  0.5000  0.5000
In  0.0000  0.5000  0.8283
In  0.5000  0.0000  0.1627
In  0.5000  0.0000  0.4932
In  0.5000  0.0000  0.8321
In  0.5000  0.5000  0.3321
In  0.5000  0.5000  0.6627
In  0.5000  0.5000  0.9932
Te  0.0000  0.0000  0.6643
Te  0.0000  0.5000  0.1643

---

[18]
Computed, not measured: RbV after structural relaxation at the PBE level of DFT.

Crystal system: orthorhombic
Relative energy among the computed polymorphs: 0.4746 eV/atom
Space group: Fddd (70)
DFT formation energy: 1304 meV per atom

Cell: 10.0332 8.9933 6.6460 Å, 78.23 61.34 40.43°
Fractional coordinates of all 8 atoms:
Rb  0.0409  0.7091  0.0409
Rb  0.2909  0.9591  0.2909
Rb  0.7091  0.0409  0.7091
Rb  0.9591  0.2909  0.9591
V  0.3201  0.3201  0.4299
V  0.4299  0.4299  0.3201
V  0.5701  0.5701  0.6799
V  0.6799  0.6799  0.5701

---

[19]
Computed, not measured: SmTa4 after structural relaxation at the PBE level of DFT.

Crystal system: cubic
Space group: Pm-3m (221)
DFT formation energy: 2452 meV per atom

Cell: 4.8771 4.8771 4.8771 Å, 90.00 90.00 90.00°
Fractional coordinates of all 5 atoms:
Sm  0.0000  0.0000  0.0000
Ta  0.0000  0.0000  0.5000
Ta  0.0000  0.5000  0.0000
Ta  0.5000  0.0000  0.0000
Ta  0.5000  0.5000  0.5000

---

[20]
Computed, not measured: CsBiTe2N after structural relaxation at the PBE level of DFT.

Crystal system: tetragonal
Relative energy among the computed polymorphs: 1.1475 eV/atom
Space group: P4/mmm (123)
Uncorrected formation energy: 1.580 eV per atom

Cell: 6.3842 6.3842 4.3553 Å, 90.00 90.00 90.00°
Fractional coordinates of all 5 atoms:
Cs  0.0000  0.0000  0.0000
Bi  0.5000  0.5000  0.5000
Te  0.0000  0.5000  0.0000
Te  0.5000  0.0000  0.0000
N  0.0000  0.0000  0.5000

---

[21]
Computed, not measured: PaBrO4 after structural relaxation at the PBE level of DFT.

Crystal system: monoclinic
Space group: C2/c (15)
Uncorrected formation energy: -1.807 eV per atom

Cell: 6.5454 6.5454 5.4064 Å, 107.28 107.28 113.80°
Fractional coordinates of all 12 atoms:
Pa  0.1056  0.8944  0.7500
Pa  0.8944  0.1056  0.2500
Br  0.3596  0.6404  0.2500
Br  0.6404  0.3596  0.7500
O  0.1040  0.5800  0.3435
O  0.2014  0.2056  0.6584
O  0.2056  0.2014  0.1584
O  0.4200  0.8960  0.1565
O  0.5800  0.1040  0.8435
O  0.7944  0.7986  0.8416
O  0.7986  0.7944  0.3416
O  0.8960  0.4200  0.6565